# SmScNO | OQMD via LeMat-Bulk | GGA-PBE | relaxed
data_SmScNO
_cell_length_a 3.976
_cell_length_b 3.976
_cell_length_c 8.226
_cell_angle_alpha 90.00
_cell_angle_beta 90.00
_cell_angle_gamma 90.00
_symmetry_space_group_name_H-M 'P 4/n m m'
_symmetry_Int_Tables_number 129
loop_
_symmetry_equiv_pos_as_xyz
'x,y,z'
'-x,-y,-z'
'-y+1/2,x,z'
'y+1/2,-x,-z'
'-x+1/2,-y+1/2,z'
'x+1/2,y+1/2,-z'
'y,-x+1/2,z'
'-y,x+1/2,-z'
'x+1/2,-y,-z'
'-x+1/2,y,z'
'-y,-x,-z'
'y,x,z'
'-x,y+1/2,-z'
'x,-y+1/2,z'
'y+1/2,x+1/2,-z'
'-y+1/2,-x+1/2,z'
loop_
_atom_site_label
_atom_site_type_symbol
_atom_site_fract_x
_atom_site_fract_y
_atom_site_fract_z
Sm1 Sm 0.250 0.250 0.136
Sc1 Sc 0.250 0.750 0.500
N1 N 0.250 0.250 0.619
O1 O 0.250 0.750 0.000
# * ΔE to the lowest computed polymorph: 294.5 meV per atom

=====

# SmScNO | OQMD via LeMat-Bulk | GGA-PBE | relaxed
data_SmScNO
_cell_length_a 4.848
_cell_length_b 4.848
_cell_length_c 4.671
_cell_angle_alpha 90.00
_cell_angle_beta 90.00
_cell_angle_gamma 90.00
_symmetry_space_group_name_H-M 'P 4/n m m'
_symmetry_Int_Tables_number 129
loop_
_symmetry_equiv_pos_as_xyz
'x,y,z'
'-x,-y,-z'
'-y+1/2,x,z'
'y+1/2,-x,-z'
'-x+1/2,-y+1/2,z'
'x+1/2,y+1/2,-z'
'y,-x+1/2,z'
'-y,x+1/2,-z'
'x+1/2,-y,-z'
'-x+1/2,y,z'
'-y,-x,-z'
'y,x,z'
'-x,y+1/2,-z'
'x,-y+1/2,z'
'y+1/2,x+1/2,-z'
'-y+1/2,-x+1/2,z'
loop_
_atom_site_label
_atom_site_type_symbol
_atom_site_fract_x
_atom_site_fract_y
_atom_site_fract_z
Sm1 Sm 0.250 0.750 0.000
Sc1 Sc 0.250 0.250 0.500
N1 N 0.250 0.250 0.001
O1 O 0.250 0.750 0.500
# * ΔE to the lowest computed polymorph: 36.4 meV per atom

=====

no.,M_tot (μB/atom)
1,0.0068
2,0.0004